## BaNpMnO5 (GGA+U)

Data for BaNpMnO5 after structural relaxation.

Summary:
* E: -0.313 hartree per atom
* SG: C2/c, No. 15

Unit cell a=6.2606 b=6.2606 c=8.1915 alpha=105.22 beta=105.22 gamma=106.09
Closest atoms and distances in Å follow each position.
Fractional coordinates of all 16 atoms:
Ba 0.1735 0.8265 0.7500  7 O 2.68-2.86
Ba 0.8265 0.1735 0.2500  7 O 2.68-2.86
Np 0.5000 0.5000 0.0000  6 O 2.03-2.13
Np 0.5000 0.5000 0.5000  6 O 2.03-2.13
Mn 0.1924 0.8076 0.2500  4 O 2.06
Mn 0.8076 0.1924 0.7500  4 O 2.06
O 0.1574 0.2659 0.9005  1 Np 2.03, 1 Mn 2.06
O 0.2164 0.6081 0.4126  1 Mn 2.06, 1 Np 2.09
O 0.2659 0.1574 0.4005  1 Np 2.03, 1 Mn 2.06
O 0.3919 0.7836 0.0874  1 Mn 2.06, 1 Np 2.09
O 0.4414 0.5586 0.7500  2 Np 2.13
O 0.5586 0.4414 0.2500  2 Np 2.13
O 0.6081 0.2164 0.9126  1 Mn 2.06, 1 Np 2.09
O 0.7341 0.8426 0.5995  1 Np 2.03, 1 Mn 2.06
O 0.7836 0.3919 0.5874  1 Mn 2.06, 1 Np 2.09
O 0.8426 0.7341 0.0995  1 Np 2.03, 1 Mn 2.06